# 1
First-principles (PBE-GGA) data for crystalline ZrScCr2 at its relaxed geometry, as listed in the Alexandria database.

Lattice parameters (Å, degrees): 3.319 4.601 4.761 90.00 90.00 90.00
Space group Pmmm (No. 47)
Inequivalent atoms, fractional coordinates:
Zr 0.000 0.000 0.000 [1 per cell]
Sc 0.500 0.000 0.500 [1 per cell]
Cr 0.000 0.500 0.500 [1 per cell]
Cr 0.500 0.500 0.000 [1 per cell]

* formation enthalpy at 0 K: 0.38 eV per atom

# 2
First-principles (PBE-GGA) data for crystalline BaSi2P at its relaxed geometry, as listed in the Alexandria database.

Lattice parameters (Å, degrees): 8.081 4.073 5.951 90.00 109.96 90.00
Space group Cm (No. 8)
Inequivalent atoms, fractional coordinates:
Ba 0.000 0.000 0.000 [2 per cell]
Si 0.284 0.500 0.397 [2 per cell]
Si 0.495 0.000 0.494 [2 per cell]
P 0.214 0.000 0.600 [2 per cell]

* VASP energy: -4.75 eV/atom

Number 1: mass density 5.49 g/cm³, V 73 Å³/cell. Number 2: mass density 4.05 g/cm³, V 184 Å³/cell.